(1)
DFT (PBE) results for a relaxed structure of Ga4HgTe7.

```
Ga4HgTe7
1.0
7.080 0.000 0.000
0.000 7.415 0.000
0.000 0.000 17.314
Ga Hg Te
8 2 14
direct
0.576 0.674 0.873
0.049 0.830 0.243
0.549 0.170 0.257
0.076 0.326 0.627
0.076 0.326 0.373
0.576 0.674 0.127
0.049 0.830 0.757
0.549 0.170 0.743
0.968 0.839 0.500
0.468 0.161 0.000
0.940 0.690 0.113
0.440 0.310 0.387
0.402 0.349 0.862
0.902 0.651 0.638
0.902 0.651 0.362
0.402 0.349 0.138
0.431 0.824 0.743
0.931 0.176 0.757
0.931 0.176 0.243
0.431 0.824 0.257
0.391 0.791 0.000
0.891 0.209 0.500
0.940 0.690 0.887
0.440 0.310 0.613
```

## Properties
Electronic total energy ... -3.134 eV per atom
SG ... Pmn2_1
Spin magnetization ... 0.00 μB/f.u.

---

(2)
DFT (PBE) results for a relaxed structure of Ba2ZrSc.

```
Ba2ZrSc
1.0
5.148 0.000 0.000
0.000 5.151 0.000
0.000 0.000 5.333
Ba Sc Zr
2 1 1
direct
0.000 0.000 0.000
0.500 0.500 0.000
0.500 0.000 0.500
0.000 0.500 0.500
```

## Properties
Energy above the lowest structure with this stoichiometry ... 305.7 meV per atom
SG ... P4/mmm
Energy of formation from the pure elements ... 0.65 eV/atom
Spin magnetization ... 0.01 μB/f.u.